(1)
# PBE TbBS, relaxed
# energy above the most stable polymorph in this dataset	529	meV per atom
data_TbBS
_chemical_formula_sum 'Tb4 B4 S4'
_cell_length_a 3.899
_cell_length_b 15.166
_cell_length_c 3.369
_cell_angle_alpha 90.00
_cell_angle_beta 90.00
_cell_angle_gamma 90.00
_symmetry_space_group_name_H-M 'C m c m'
_symmetry_Int_Tables_number 63
_symmetry_space_group_name_Hall '-C 2c 2'
loop_
_atom_site_label
_atom_site_type_symbol
_atom_site_fract_x
_atom_site_fract_y
_atom_site_fract_z
_atom_site_occupancy
Tb1 Tb 0.000 0.103 0.250 1
B1 B 0.000 0.483 0.250 1
S1 S 0.000 0.252 0.750 1

=====

(2)
# PBE Cs2BRuBr6, relaxed
# electronic total energy	-3.2535	eV per atom
data_Cs2BRuBr6
_chemical_formula_sum 'Cs4 B2 Ru2 Br12'
_cell_length_a 7.482
_cell_length_b 7.482
_cell_length_c 10.699
_cell_angle_alpha 90.00
_cell_angle_beta 90.00
_cell_angle_gamma 90.00
_symmetry_space_group_name_H-M 'I 4/m m m'
_symmetry_Int_Tables_number 139
_symmetry_space_group_name_Hall '-I 4 2'
loop_
_atom_site_label
_atom_site_type_symbol
_atom_site_fract_x
_atom_site_fract_y
_atom_site_fract_z
_atom_site_occupancy
Cs1 Cs 0.000 0.500 0.250 1
B1 B 0.000 0.000 0.000 1
Ru1 Ru 0.000 0.000 0.500 1
Br1 Br 0.000 0.000 0.260 1
Br2 Br 0.243 0.243 0.500 1

=====

(3)
# PBE Nd6HgP2S3, relaxed
# electronic total energy	-5.9384	eV per atom
data_Nd6HgP2S3
_chemical_formula_sum 'Nd12 Hg2 P4 S6'
_cell_length_a 18.139
_cell_length_b 4.140
_cell_length_c 8.413
_cell_angle_alpha 90.00
_cell_angle_beta 103.23
_cell_angle_gamma 90.00
_symmetry_space_group_name_H-M 'C 1 2/m 1'
_symmetry_Int_Tables_number 12
loop_
_symmetry_equiv_pos_as_xyz
'x,y,z'
'-x,-y,-z'
'-x,y,-z'
'x,-y,z'
'x+1/2,y+1/2,z'
'-x+1/2,-y+1/2,-z'
'-x+1/2,y+1/2,-z'
'x+1/2,-y+1/2,z'
loop_
_atom_site_label
_atom_site_type_symbol
_atom_site_fract_x
_atom_site_fract_y
_atom_site_fract_z
_atom_site_occupancy
Nd1 Nd 0.002 0.000 0.271 1
Nd2 Nd 0.169 0.500 0.578 1
Nd3 Nd 0.173 0.500 0.094 1
Hg1 Hg 0.000 0.500 0.000 1
P1 P 0.167 0.000 0.334 1
S1 S 0.000 0.500 0.500 1
S2 S 0.167 0.000 0.833 1

=====

(4)
# PBE TbPm2Tm4Th, relaxed
# energy relative to the elements	0.030	eV/atom
data_TbPm2Tm4Th
_chemical_formula_sum 'Tb1 Pm2 Tm4 Th1'
_cell_length_a 5.052
_cell_length_b 5.066
_cell_length_c 9.880
_cell_angle_alpha 90.00
_cell_angle_beta 90.04
_cell_angle_gamma 90.00
_symmetry_space_group_name_H-M 'P 1 2/m 1'
_symmetry_Int_Tables_number 10
loop_
_symmetry_equiv_pos_as_xyz
'x,y,z'
'-x,-y,-z'
'-x,y,-z'
'x,-y,z'
loop_
_atom_site_label
_atom_site_type_symbol
_atom_site_fract_x
_atom_site_fract_y
_atom_site_fract_z
_atom_site_occupancy
Tb1 Tb 0.000 0.000 0.000 1
Pm1 Pm 0.000 0.000 0.500 1
Pm2 Pm 0.500 0.500 0.000 1
Tm1 Tm 0.000 0.500 0.253 1
Tm2 Tm 0.500 0.000 0.253 1
Th1 Th 0.500 0.500 0.500 1

=====

(5)
# PBE La2Pr8Dy, relaxed
# energy relative to the elements	0.138	eV/atom
# energy above the most stable polymorph in this dataset	7	meV per atom
data_La2Pr8Dy
_chemical_formula_sum 'La4 Pr16 Dy2'
_cell_length_a 17.064
_cell_length_b 6.953
_cell_length_c 6.896
_cell_angle_alpha 90.00
_cell_angle_beta 101.11
_cell_angle_gamma 90.00
_symmetry_space_group_name_H-M 'C 1 2/m 1'
_symmetry_Int_Tables_number 12
loop_
_symmetry_equiv_pos_as_xyz
'x,y,z'
'-x,-y,-z'
'-x,y,-z'
'x,-y,z'
'x+1/2,y+1/2,z'
'-x+1/2,-y+1/2,-z'
'-x+1/2,y+1/2,-z'
'x+1/2,-y+1/2,z'
loop_
_atom_site_label
_atom_site_type_symbol
_atom_site_fract_x
_atom_site_fract_y
_atom_site_fract_z
_atom_site_occupancy
La1 La 0.195 0.000 0.312 1
Pr1 Pr 0.086 0.263 0.905 1
Pr2 Pr 0.091 0.500 0.415 1
Pr3 Pr 0.244 0.000 0.819 1
Dy1 Dy 0.000 0.000 0.500 1

=====

(6)
# PBE CuBiTe, relaxed
# electronic total energy	-3.6598	eV per atom
data_CuBiTe
_chemical_formula_sum 'Cu6 Bi6 Te6'
_cell_length_a 5.406
_cell_length_b 8.081
_cell_length_c 10.789
_cell_angle_alpha 80.70
_cell_angle_beta 89.78
_cell_angle_gamma 89.22
_symmetry_space_group_name_H-M 'P -1'
_symmetry_Int_Tables_number 2
loop_
_symmetry_equiv_pos_as_xyz
'x,y,z'
'-x,-y,-z'
loop_
_atom_site_label
_atom_site_type_symbol
_atom_site_fract_x
_atom_site_fract_y
_atom_site_fract_z
_atom_site_occupancy
Cu1 Cu 0.000 0.000 0.000 1
Cu2 Cu 0.009 0.335 0.658 1
Cu3 Cu 0.490 0.164 0.323 1
Cu4 Cu 0.500 0.500 0.000 1
Bi1 Bi 0.212 0.577 0.783 1
Bi2 Bi 0.230 0.904 0.460 1
Bi3 Bi 0.285 0.741 0.127 1
Te1 Te 0.231 0.252 0.115 1
Te2 Te 0.267 0.078 0.788 1
Te3 Te 0.271 0.401 0.447 1

=====

(7)
# PBE La2NpTl2S6, relaxed
# electronic total energy	-6.1962	eV per atom
data_La2NpTl2S6
_chemical_formula_sum 'La4 Np2 Tl4 S12'
_cell_length_a 7.314
_cell_length_b 12.570
_cell_length_c 7.832
_cell_angle_alpha 90.00
_cell_angle_beta 108.26
_cell_angle_gamma 90.00
_symmetry_space_group_name_H-M 'C 1 2/m 1'
_symmetry_Int_Tables_number 12
loop_
_symmetry_equiv_pos_as_xyz
'x,y,z'
'-x,-y,-z'
'-x,y,-z'
'x,-y,z'
'x+1/2,y+1/2,z'
'-x+1/2,-y+1/2,-z'
'-x+1/2,y+1/2,-z'
'x+1/2,-y+1/2,z'
loop_
_atom_site_label
_atom_site_type_symbol
_atom_site_fract_x
_atom_site_fract_y
_atom_site_fract_z
_atom_site_occupancy
La1 La 0.000 0.166 0.000 1
Np1 Np 0.000 0.500 0.000 1
Tl1 Tl 0.000 0.332 0.500 1
S1 S 0.221 0.341 0.195 1
S2 S 0.242 0.500 0.801 1

=====

(8)
# PBE MnPAuSN, relaxed
# energy above the most stable polymorph in this dataset	3	meV per atom
data_MnPAuSN
_chemical_formula_sum 'Mn1 P1 Au1 S1 N1'
_cell_length_a 3.703
_cell_length_b 2.894
_cell_length_c 7.748
_cell_angle_alpha 90.00
_cell_angle_beta 90.00
_cell_angle_gamma 90.00
_symmetry_space_group_name_H-M 'P 1 m 1'
_symmetry_Int_Tables_number 6
loop_
_symmetry_equiv_pos_as_xyz
'x,y,z'
'x,-y,z'
loop_
_atom_site_label
_atom_site_type_symbol
_atom_site_fract_x
_atom_site_fract_y
_atom_site_fract_z
_atom_site_occupancy
Mn1 Mn 0.000 0.000 0.000 1
P1 P 0.998 0.500 0.613 1
Au1 Au 0.498 0.500 0.416 1
S1 S 0.500 0.500 0.094 1
N1 N 0.998 0.000 0.735 1

=====

(9)
# PBE Pu2HfSb3, relaxed
# electronic total energy	-9.0602	eV per atom
data_Pu2HfSb3
_chemical_formula_sum 'Pu32 Hf16 Sb48'
_cell_length_a 8.640
_cell_length_b 12.198
_cell_length_c 25.828
_cell_angle_alpha 90.00
_cell_angle_beta 90.00
_cell_angle_gamma 90.00
_symmetry_space_group_name_H-M 'F d d d'
_symmetry_Int_Tables_number 70
loop_
_symmetry_equiv_pos_as_xyz
'x,y,z'
'-x,-y,-z'
'-x+1/4,-y+1/4,z'
'x+1/4,y+1/4,-z'
'x,-y+1/4,-z+1/4'
'-x,y+1/4,z+1/4'
'-x+1/4,y,-z+1/4'
'x+1/4,-y,z+1/4'
'x,y+1/2,z+1/2'
'-x,-y+1/2,-z+1/2'
'-x+1/4,-y+3/4,z+1/2'
'x+1/4,y+3/4,-z+1/2'
'x,-y+3/4,-z+3/4'
'-x,y+3/4,z+3/4'
'-x+1/4,y+1/2,-z+3/4'
'x+1/4,-y+1/2,z+3/4'
'x+1/2,y,z+1/2'
'-x+1/2,-y,-z+1/2'
'-x+3/4,-y+1/4,z+1/2'
'x+3/4,y+1/4,-z+1/2'
'x+1/2,-y+1/4,-z+3/4'
'-x+1/2,y+1/4,z+3/4'
'-x+3/4,y,-z+3/4'
'x+3/4,-y,z+3/4'
'x+1/2,y+1/2,z'
'-x+1/2,-y+1/2,-z'
'-x+3/4,-y+3/4,z'
'x+3/4,y+3/4,-z'
'x+1/2,-y+3/4,-z+1/4'
'-x+1/2,y+3/4,z+1/4'
'-x+3/4,y+1/2,-z+1/4'
'x+3/4,-y+1/2,z+1/4'
loop_
_atom_site_label
_atom_site_type_symbol
_atom_site_fract_x
_atom_site_fract_y
_atom_site_fract_z
_atom_site_occupancy
Pu1 Pu 0.125 0.125 0.044 1
Pu2 Pu 0.125 0.125 0.372 1
Hf1 Hf 0.125 0.125 0.541 1
Sb1 Sb 0.107 0.375 0.875 1
Sb2 Sb 0.116 0.368 0.711 1

=====

(10)
# PBE Ti4NbCo, relaxed
# energy relative to the elements	-0.084	eV/atom
# energy above the most stable polymorph in this dataset	9	meV per atom
data_Ti4NbCo
_chemical_formula_sum 'Ti8 Nb2 Co2'
_cell_length_a 9.502
_cell_length_b 4.338
_cell_length_c 5.703
_cell_angle_alpha 90.00
_cell_angle_beta 125.82
_cell_angle_gamma 90.00
_symmetry_space_group_name_H-M 'C 1 2/m 1'
_symmetry_Int_Tables_number 12
loop_
_symmetry_equiv_pos_as_xyz
'x,y,z'
'-x,-y,-z'
'-x,y,-z'
'x,-y,z'
'x+1/2,y+1/2,z'
'-x+1/2,-y+1/2,-z'
'-x+1/2,y+1/2,-z'
'x+1/2,-y+1/2,z'
loop_
_atom_site_label
_atom_site_type_symbol
_atom_site_fract_x
_atom_site_fract_y
_atom_site_fract_z
_atom_site_occupancy
Ti1 Ti 0.153 0.000 0.306 1
Ti2 Ti 0.186 0.000 0.826 1
Nb1 Nb 0.000 0.500 0.500 1
Co1 Co 0.000 0.500 0.000 1

=====

For the records above, the corresponding DOS at the Fermi energy values read 5.73 20.20 11.70 11.28 37.70 7.72 13.18 1.58 412.76 16.03 states/eV per cell.
For the records above, the corresponding calculated volume values read 199 599 615 253 803 465 684 83 2722 191 Å³ per cell.